Record 1
VASP calculation (SCAN) on a crystal of Nb2GeSe relaxed with PBEsol.

a = 6.3991 Å, b = 6.3991 Å, c = 6.3991 Å
α = 90.00°, β = 90.00°, γ = 90.00°
Last column: nearest neighbours and their distance in Å.
Space group Fm-3m (No. 225)
Unique sites:
Nb (0.2500, 0.2500, 0.2500) [8 per cell]  4 Ge 2.77, 4 Se 2.77
Ge (0.0000, 0.0000, 0.0000) [4 per cell]  8 Nb 2.77
Se (0.0000, 0.0000, 0.5000) [4 per cell]  8 Nb 2.77

The calculation puts the energy at -26.66 eV/atom.

=====

Record 2
VASP calculation (SCAN) on a crystal of Nb4GeSe8 relaxed with PBEsol.

a = 27.2333 Å, b = 3.4584 Å, c = 5.9743 Å
α = 90.00°, β = 102.63°, γ = 90.00°
Last column: nearest neighbours and their distance in Å.
Space group C2/m (No. 12)
Unique sites:
Nb (0.1337, 0.0000, 0.1247) [4 per cell]  6 Se 2.58-2.62
Nb (0.1341, 0.5000, 0.6440) [4 per cell]  6 Se 2.56-2.63
Ge (0.0000, 0.5000, 0.5000) [2 per cell]  6 Se 2.74-2.76
Se (0.0692, 0.5000, 0.9079) [4 per cell]  3 Nb 2.60-2.61, 1 Ge 2.74
Se (0.0715, 0.0000, 0.4015) [4 per cell]  3 Nb 2.62-2.63, 2 Ge 2.76
Se (0.1947, 0.0000, 0.5273) [4 per cell]  3 Nb 2.59-2.61
Se (0.1969, 0.5000, 0.0312) [4 per cell]  3 Nb 2.56-2.58

The calculation puts the energy at -24.85 eV/atom.

=====

Record 3
VASP calculation (SCAN) on a crystal of NbSiGe3 relaxed with PBEsol.

a = 4.9361 Å, b = 4.9361 Å, c = 4.9361 Å
α = 90.00°, β = 90.00°, γ = 90.00°
Last column: nearest neighbours and their distance in Å.
Space group Pm-3m (No. 221)
Unique sites:
Nb (0.0000, 0.0000, 0.0000) [1 per cell]  6 Ge 2.47
Si (0.5000, 0.5000, 0.5000) [1 per cell]  12 Ge 3.49
Ge (0.0000, 0.0000, 0.5000) [3 per cell]  2 Nb 2.47

The calculation puts the energy at -19.15 eV/atom.

=====

What are the volume values for these records? In order: 16.377, 21.118, 24.054 Å³/atom.